! HfNpTc (PBE, optimized geometry); values from VASP
! calculated formation energy = 810 meV/atom
! excess energy over the best structure of this formula in the dataset = 0 meV per atom
! magnetic moment = 1.0187 μB per atom
! volume = 62.63 Å³ per cell
&SYSTEM
  ibrav = 0, nat = 3, ntyp = 3
/
ATOMIC_SPECIES
Np 237.00 Np.upf
Hf 178.49 Hf.upf
Tc 98.00 Tc.upf
ATOMIC_POSITIONS crystal
Np 0.250 0.250 0.250
Hf 0.000 0.000 0.000
Tc 0.750 0.750 0.750
CELL_PARAMETERS angstrom
0.000 3.152 3.152
3.152 0.000 3.152
3.152 3.152 0.000